<w>
A plane-wave DFT calculation with PBE-GGA was carried out for a relaxed structure of Cs2SF.

Calculated values
As for the space-group type: P4/mmm (123).

a = 3.755 Å, b = 3.755 Å, c = 8.571 Å
α = 90.00°, β = 90.00°, γ = 90.00°
Each line ends with the local moment (μB).
Element x y z (fractional)
Cs 0.000 0.000 0.786  0.00
Cs 0.000 0.000 0.214  0.00
S 0.500 0.500 0.500  0.29
F 0.500 0.500 0.000  0.00

***

<x>
A plane-wave DFT calculation with PBE-GGA was carried out for a relaxed structure of Cs2SF.

Calculated values
As for the space-group type: Fm-3m (225).

a = 5.720 Å, b = 5.720 Å, c = 5.720 Å
α = 60.00°, β = 60.00°, γ = 60.00°
Each line ends with the local moment (μB).
Element x y z (fractional)
Cs 0.250 0.250 0.250  0.02
Cs 0.750 0.750 0.750  0.02
S 0.500 0.500 0.500  0.51
F 0.000 0.000 0.000  0.04

***

<y>
A plane-wave DFT calculation with PBE-GGA was carried out for a relaxed structure of Cs2SF.

Calculated values
As for the space-group type: I-42d (122).

a = 7.537 Å, b = 7.537 Å, c = 7.537 Å
α = 113.12°, β = 113.12°, γ = 102.40°
Each line ends with the local moment (μB).
Element x y z (fractional)
Cs 0.375 0.810 0.935  0.01
Cs 0.875 0.440 0.065  0.01
Cs 0.190 0.125 0.565  0.01
Cs 0.560 0.625 0.435  0.01
S 0.000 0.000 0.000  0.54
S 0.750 0.250 0.500  0.54
F 0.500 0.500 0.000  0.00
F 0.250 0.750 0.500  0.00

***

Relative energies in meV/atom: <w> 0; <x> 135; <y> 23